No. 1
## Cd3Fe2N4 (PBE)

Data for crystalline Cd3Fe2N4 at its relaxed geometry.

Cell lengths 13.590, 8.046, 5.478 Å; angles 90.00, 104.57, 90.00 degrees
Space group C2/c (No. 15)
Symmetry-distinct sites (fractional):
Cd: 0.000 0.110 0.250
Cd: 0.113 0.231 0.863
Fe: 0.233 0.391 0.413
N: 0.150 0.225 0.464
N: 0.219 0.433 0.088

Calculated values
The calculation puts the total DFT energy (no corrections) at -5.5513 eV/atom. Its magnetic moment is 0.001 μB/f.u. The value obtained for the density of states at the Fermi level is 0.60 states/eV/atom.

***

No. 2
## NaCdFeN2 (PBE)

Data for crystalline NaCdFeN2 at its relaxed geometry.

Cell lengths 4.204, 4.204, 4.448 Å; angles 90.00, 90.00, 90.00 degrees
Space group P4/mmm (No. 123)
Symmetry-distinct sites (fractional):
Na: 0.000 0.000 0.000
Cd: 0.500 0.500 0.500
Fe: 0.000 0.000 0.500
N: 0.000 0.500 0.000

Calculated values
The calculation puts the total DFT energy (no corrections) at -3.2226 eV/atom. Its magnetic moment is 3.468 μB/f.u. The value obtained for the density of states at the Fermi level is 1.02 states/eV/atom.

***

No. 3
## Nb2CdFeN (PBE)

Data for crystalline Nb2CdFeN at its relaxed geometry.

Cell lengths 4.945, 4.945, 3.405 Å; angles 90.00, 90.00, 90.00 degrees
Space group P4/mmm (No. 123)
Symmetry-distinct sites (fractional):
Nb: 0.000 0.500 0.000
Cd: 0.000 0.000 0.500
Fe: 0.500 0.500 0.000
N: 0.500 0.500 0.500

Calculated values
The calculation puts the total DFT energy (no corrections) at -6.9053 eV/atom. Its magnetic moment is 0.000 μB/f.u. The value obtained for the density of states at the Fermi level is 0.78 states/eV/atom.